1.
ZrHg2I8 | PBE | optimized geometry

abc: 13.750 11.251 7.089
angles: 90.00 96.88 90.00
Space group C2/m (No. 12)
Unique sites:
1 Zr 0.000 0.000 0.000 x2
2 Hg 0.210 0.000 0.668 x4
3 I 0.076 0.186 0.777 x8
4 I 0.097 0.500 0.211 x4
5 I 0.185 0.000 0.244 x4

Properties
E_form (uncorrected) (meV/atom): -514
Total energy (eV for the cell shown): -54.4
Calculated volume (Å³/atom): 49.492


2.
ZrHg2I | PBE | optimized geometry

abc: 9.036 9.036 5.791
angles: 90.00 90.00 90.00
Space group I-42d (No. 122)
Unique sites:
1 Zr 0.000 0.000 0.000 x4
2 Hg 0.193 0.250 0.125 x8
3 I 0.000 0.000 0.500 x4

Properties
Polymorph energy (0 for the lowest one) (meV/atom): 0
E_form (uncorrected) (meV/atom): 152
Total energy (eV for the cell shown): -40.4
Calculated volume (Å³/atom): 29.552


3.
Zr2HgI6 | PBE | optimized geometry

abc: 15.315 3.924 13.572
angles: 90.00 104.85 90.00
Space group C2/m (No. 12)
Unique sites:
1 Zr 0.194 0.000 0.349 x4
2 Hg 0.000 0.500 0.000 x2
3 I 0.048 0.500 0.298 x4
4 I 0.160 0.000 0.565 x4
5 I 0.231 0.000 0.163 x4

Properties
E_form (uncorrected) (meV/atom): -712
Total energy (eV for the cell shown): -66.2
Calculated volume (Å³/atom): 43.795


4.
ZrHgI3 | PBE | optimized geometry

abc: 7.0823 7.0823 31.6017
angles: 90.00 90.00 120.00
Space group R-3 (No. 148, hexagonal axes)
Unique sites:
1 Zr 0.0000 0.0000 0.1666 x6
2 Hg 0.0000 0.0000 0.3336 x6
3 I 0.0001 0.3356 0.4447 x18

Properties
Polymorph energy (0 for the lowest one) (meV/atom): 0
E_form (uncorrected) (meV/atom): -662
Total energy (eV for the cell shown): -100.9
Calculated volume (Å³/atom): 45.757


Copy entry 4 word for word.
ZrHgI3 | PBE | optimized geometry

abc: 7.0823 7.0823 31.6017
angles: 90.00 90.00 120.00
Space group R-3 (No. 148, hexagonal axes)
Unique sites:
1 Zr 0.0000 0.0000 0.1666 x6
2 Hg 0.0000 0.0000 0.3336 x6
3 I 0.0001 0.3356 0.4447 x18

Properties
Polymorph energy (0 for the lowest one) (meV/atom): 0
E_form (uncorrected) (meV/atom): -662
Total energy (eV for the cell shown): -100.9
Calculated volume (Å³/atom): 45.757


Look up the calculated volume of the first one.
49.492 Å³/atom